A relaxed LiPr5Tl3 crystal, computed with PBE.

Calculated values
For the density of states at the Fermi level, the calculation gives 1.06 states/eV/atom. The formation energy is -0.27 eV per atom. The value obtained for the total DFT energy (no corrections) is -3.92 eV per atom.

```
data_LiPr5Tl3
_symmetry_space_group_name_H-M 'P 63/m c m'
_symmetry_Int_Tables_number 193
_symmetry_space_group_name_Hall '-P 6c 2'
_cell_length_a 9.6805
_cell_length_b 9.6805
_cell_length_c 6.8469
_cell_angle_alpha 90.00
_cell_angle_beta 90.00
_cell_angle_gamma 120.00
loop_
_atom_site_label
_atom_site_fract_x
_atom_site_fract_y
_atom_site_fract_z
Li1 0.0000 0.0000 0.0000
Pr1 0.0000 0.3140 0.2500
Pr2 0.3333 0.6667 0.0000
Tl1 0.0000 0.3438 0.7500
```

A relaxed LiPr2Tl2 crystal, computed with PBE.

Calculated values
For the density of states at the Fermi level, the calculation gives 1.09 states/eV/atom. The formation energy is -0.20 eV per atom. The value obtained for the total DFT energy (no corrections) is -3.44 eV per atom. As for the offset from the most stable computed form: 108 meV/atom.

```
data_LiPr2Tl2
_symmetry_space_group_name_H-M 'I b a m'
_symmetry_Int_Tables_number 72
_symmetry_space_group_name_Hall '-I 2 2c'
_cell_length_a 6.793
_cell_length_b 13.348
_cell_length_c 6.549
_cell_angle_alpha 90.00
_cell_angle_beta 90.00
_cell_angle_gamma 90.00
loop_
_atom_site_label
_atom_site_fract_x
_atom_site_fract_y
_atom_site_fract_z
Li1 0.000 0.000 0.250
Pr1 0.207 0.355 0.000
Tl1 0.227 0.112 0.000
```

A relaxed Li6PrTl6 crystal, computed with PBE.

Calculated values
For the density of states at the Fermi level, the calculation gives 0.46 states/eV/atom. The formation energy is -0.25 eV per atom. The value obtained for the total DFT energy (no corrections) is -2.59 eV per atom.

```
data_Li6PrTl6
_symmetry_space_group_name_H-M 'I m m m'
_symmetry_Int_Tables_number 71
_symmetry_space_group_name_Hall '-I 2 2'
_cell_length_a 5.965
_cell_length_b 9.747
_cell_length_c 9.826
_cell_angle_alpha 90.00
_cell_angle_beta 90.00
_cell_angle_gamma 90.00
loop_
_atom_site_label
_atom_site_fract_x
_atom_site_fract_y
_atom_site_fract_z
Li1 0.000 0.237 0.000
Li2 0.250 0.250 0.250
Pr1 0.000 0.500 0.500
Tl1 0.000 0.000 0.180
Tl2 0.000 0.160 0.500
Tl3 0.000 0.500 0.159
```

A relaxed LiPr4Tl7 crystal, computed with PBE.

Calculated values
For the density of states at the Fermi level, the calculation gives 0.48 states/eV/atom. The formation energy is -0.18 eV per atom. The value obtained for the total DFT energy (no corrections) is -3.31 eV per atom.

```
data_LiPr4Tl7
_symmetry_space_group_name_H-M 'C 1 2/m 1'
_symmetry_Int_Tables_number 12
_cell_length_a 14.537
_cell_length_b 5.450
_cell_length_c 11.550
_cell_angle_alpha 90.00
_cell_angle_beta 123.07
_cell_angle_gamma 90.00
loop_
_symmetry_equiv_pos_as_xyz
'x,y,z'
'-x,-y,-z'
'-x,y,-z'
'x,-y,z'
'x+1/2,y+1/2,z'
'-x+1/2,-y+1/2,-z'
'-x+1/2,y+1/2,-z'
'x+1/2,-y+1/2,z'
loop_
_atom_site_label
_atom_site_fract_x
_atom_site_fract_y
_atom_site_fract_z
Li1 0.000 0.000 0.000
Pr1 0.079 0.500 0.779
Pr2 0.224 0.500 0.329
Tl1 0.000 0.500 0.000
Tl2 0.086 0.000 0.315
Tl3 0.130 0.500 0.540
Tl4 0.221 0.000 0.904
```

A relaxed LiPr5Tl5 crystal, computed with PBE.

Calculated values
For the density of states at the Fermi level, the calculation gives 0.98 states/eV/atom. The formation energy is -0.19 eV per atom. The value obtained for the total DFT energy (no corrections) is -3.61 eV per atom.

```
data_LiPr5Tl5
_symmetry_space_group_name_H-M 'C 1 2/m 1'
_symmetry_Int_Tables_number 12
_cell_length_a 17.287
_cell_length_b 5.785
_cell_length_c 7.243
_cell_angle_alpha 90.00
_cell_angle_beta 110.35
_cell_angle_gamma 90.00
loop_
_symmetry_equiv_pos_as_xyz
'x,y,z'
'-x,-y,-z'
'-x,y,-z'
'x,-y,z'
'x+1/2,y+1/2,z'
'-x+1/2,-y+1/2,-z'
'-x+1/2,y+1/2,-z'
'x+1/2,-y+1/2,z'
loop_
_atom_site_label
_atom_site_fract_x
_atom_site_fract_y
_atom_site_fract_z
Li1 0.000 0.000 0.000
Pr1 0.000 0.000 0.500
Pr2 0.125 0.500 0.670
Pr3 0.198 0.500 0.221
Tl1 0.000 0.500 0.000
Tl2 0.153 0.000 0.943
Tl3 0.157 0.000 0.374
```

A relaxed LiPr2TmTl4 crystal, computed with PBE.

Calculated values
For the density of states at the Fermi level, the calculation gives 0.68 states/eV/atom. The formation energy is -0.33 eV per atom. The value obtained for the total DFT energy (no corrections) is -3.51 eV per atom.

```
data_LiPr2TmTl4
_symmetry_space_group_name_H-M 'R -3 m'
_symmetry_Int_Tables_number 166
_symmetry_space_group_name_Hall '-R 3 2"'
_cell_length_a 5.3337
_cell_length_b 5.3337
_cell_length_c 27.0031
_cell_angle_alpha 90.00
_cell_angle_beta 90.00
_cell_angle_gamma 120.00
loop_
_atom_site_label
_atom_site_fract_x
_atom_site_fract_y
_atom_site_fract_z
Li1 0.0000 0.0000 0.0000
Pr1 0.0000 0.0000 0.2557
Tm1 0.0000 0.0000 0.5000
Tl1 0.0000 0.0000 0.1252
Tl2 0.0000 0.0000 0.3746
```

A relaxed LiPrTmTl crystal, computed with PBE.

Calculated values
For the density of states at the Fermi level, the calculation gives 1.01 states/eV/atom. The formation energy is -0.18 eV per atom. The value obtained for the total DFT energy (no corrections) is -3.56 eV per atom.

```
data_LiPrTmTl
_symmetry_space_group_name_H-M 'F -4 3 m'
_symmetry_Int_Tables_number 216
_symmetry_space_group_name_Hall 'F -4 2 3'
_cell_length_a 7.586
_cell_length_b 7.586
_cell_length_c 7.586
_cell_angle_alpha 90.00
_cell_angle_beta 90.00
_cell_angle_gamma 90.00
loop_
_atom_site_label
_atom_site_fract_x
_atom_site_fract_y
_atom_site_fract_z
Li1 0.000 0.000 0.000
Pr1 0.250 0.250 0.750
Tm1 0.250 0.250 0.250
Tl1 0.000 0.000 0.500
```

A relaxed Li2PrTmTl4 crystal, computed with PBE.

Calculated values
For the density of states at the Fermi level, the calculation gives 0.23 states/eV/atom. The formation energy is -0.31 eV per atom. The value obtained for the total DFT energy (no corrections) is -3.13 eV per atom.

```
data_Li2PrTmTl4
_symmetry_space_group_name_H-M 'R -3 m'
_symmetry_Int_Tables_number 166
_symmetry_space_group_name_Hall '-R 3 2"'
_cell_length_a 5.2233
_cell_length_b 5.2233
_cell_length_c 25.7417
_cell_angle_alpha 90.00
_cell_angle_beta 90.00
_cell_angle_gamma 120.00
loop_
_atom_site_label
_atom_site_fract_x
_atom_site_fract_y
_atom_site_fract_z
Li1 0.0000 0.0000 0.2486
Pr1 0.0000 0.0000 0.0000
Tm1 0.0000 0.0000 0.5000
Tl1 0.0000 0.0000 0.1276
Tl2 0.0000 0.0000 0.3788
```

A relaxed Li2Pr2TmTl2 crystal, computed with PBE.

Calculated values
For the density of states at the Fermi level, the calculation gives 0.84 states/eV/atom. The formation energy is -0.19 eV per atom. The value obtained for the total DFT energy (no corrections) is -3.41 eV per atom.

```
data_Li2Pr2TmTl2
_symmetry_space_group_name_H-M 'R -3 m'
_symmetry_Int_Tables_number 166
_symmetry_space_group_name_Hall '-R 3 2"'
_cell_length_a 4.8502
_cell_length_b 4.8502
_cell_length_c 27.5917
_cell_angle_alpha 90.00
_cell_angle_beta 90.00
_cell_angle_gamma 120.00
loop_
_atom_site_label
_atom_site_fract_x
_atom_site_fract_y
_atom_site_fract_z
Li1 0.0000 0.0000 0.1123
Pr1 0.0000 0.0000 0.3742
Tm1 0.0000 0.0000 0.5000
Tl1 0.0000 0.0000 0.2320
```

A relaxed Li2PrTm2Tl2 crystal, computed with PBE.

Calculated values
For the density of states at the Fermi level, the calculation gives 0.82 states/eV/atom. The formation energy is -0.18 eV per atom. The value obtained for the total DFT energy (no corrections) is -3.36 eV per atom.

```
data_Li2PrTm2Tl2
_symmetry_space_group_name_H-M 'R -3 m'
_symmetry_Int_Tables_number 166
_symmetry_space_group_name_Hall '-R 3 2"'
_cell_length_a 4.8745
_cell_length_b 4.8745
_cell_length_c 26.7289
_cell_angle_alpha 90.00
_cell_angle_beta 90.00
_cell_angle_gamma 120.00
loop_
_atom_site_label
_atom_site_fract_x
_atom_site_fract_y
_atom_site_fract_z
Li1 0.0000 0.0000 0.0920
Pr1 0.0000 0.0000 0.5000
Tm1 0.0000 0.0000 0.3707
Tl1 0.0000 0.0000 0.2428
```

A relaxed LiPr2YTl4 crystal, computed with PBE.

Calculated values
For the density of states at the Fermi level, the calculation gives 0.64 states/eV/atom. The formation energy is -0.36 eV per atom. The value obtained for the total DFT energy (no corrections) is -3.78 eV per atom.

```
data_LiPr2YTl4
_symmetry_space_group_name_H-M 'R -3 m'
_symmetry_Int_Tables_number 166
_symmetry_space_group_name_Hall '-R 3 2"'
_cell_length_a 5.3428
_cell_length_b 5.3428
_cell_length_c 27.1711
_cell_angle_alpha 90.00
_cell_angle_beta 90.00
_cell_angle_gamma 120.00
loop_
_atom_site_label
_atom_site_fract_x
_atom_site_fract_y
_atom_site_fract_z
Li1 0.0000 0.0000 0.0000
Pr1 0.0000 0.0000 0.2560
Y1 0.0000 0.0000 0.5000
Tl1 0.0000 0.0000 0.1250
Tl2 0.0000 0.0000 0.3742
```

A relaxed LiPrY2Tl4 crystal, computed with PBE.

Calculated values
For the density of states at the Fermi level, the calculation gives 0.55 states/eV/atom. The formation energy is -0.34 eV per atom. The value obtained for the total DFT energy (no corrections) is -3.98 eV per atom.

```
data_LiPrY2Tl4
_symmetry_space_group_name_H-M 'R -3 m'
_symmetry_Int_Tables_number 166
_symmetry_space_group_name_Hall '-R 3 2"'
_cell_length_a 5.2895
_cell_length_b 5.2895
_cell_length_c 26.9280
_cell_angle_alpha 90.00
_cell_angle_beta 90.00
_cell_angle_gamma 120.00
loop_
_atom_site_label
_atom_site_fract_x
_atom_site_fract_y
_atom_site_fract_z
Li1 0.0000 0.0000 0.0000
Pr1 0.0000 0.0000 0.5000
Y1 0.0000 0.0000 0.2552
Tl1 0.0000 0.0000 0.1210
Tl2 0.0000 0.0000 0.3719
```

Repeat the fourth record exactly.
A relaxed LiPr4Tl7 crystal, computed with PBE.

Calculated values
For the density of states at the Fermi level, the calculation gives 0.48 states/eV/atom. The formation energy is -0.18 eV per atom. The value obtained for the total DFT energy (no corrections) is -3.31 eV per atom.

```
data_LiPr4Tl7
_symmetry_space_group_name_H-M 'C 1 2/m 1'
_symmetry_Int_Tables_number 12
_cell_length_a 14.537
_cell_length_b 5.450
_cell_length_c 11.550
_cell_angle_alpha 90.00
_cell_angle_beta 123.07
_cell_angle_gamma 90.00
loop_
_symmetry_equiv_pos_as_xyz
'x,y,z'
'-x,-y,-z'
'-x,y,-z'
'x,-y,z'
'x+1/2,y+1/2,z'
'-x+1/2,-y+1/2,-z'
'-x+1/2,y+1/2,-z'
'x+1/2,-y+1/2,z'
loop_
_atom_site_label
_atom_site_fract_x
_atom_site_fract_y
_atom_site_fract_z
Li1 0.000 0.000 0.000
Pr1 0.079 0.500 0.779
Pr2 0.224 0.500 0.329
Tl1 0.000 0.500 0.000
Tl2 0.086 0.000 0.315
Tl3 0.130 0.500 0.540
Tl4 0.221 0.000 0.904
```

Repeat the fourth record exactly.
A relaxed LiPr4Tl7 crystal, computed with PBE.

Calculated values
For the density of states at the Fermi level, the calculation gives 0.48 states/eV/atom. The formation energy is -0.18 eV per atom. The value obtained for the total DFT energy (no corrections) is -3.31 eV per atom.

```
data_LiPr4Tl7
_symmetry_space_group_name_H-M 'C 1 2/m 1'
_symmetry_Int_Tables_number 12
_cell_length_a 14.537
_cell_length_b 5.450
_cell_length_c 11.550
_cell_angle_alpha 90.00
_cell_angle_beta 123.07
_cell_angle_gamma 90.00
loop_
_symmetry_equiv_pos_as_xyz
'x,y,z'
'-x,-y,-z'
'-x,y,-z'
'x,-y,z'
'x+1/2,y+1/2,z'
'-x+1/2,-y+1/2,-z'
'-x+1/2,y+1/2,-z'
'x+1/2,-y+1/2,z'
loop_
_atom_site_label
_atom_site_fract_x
_atom_site_fract_y
_atom_site_fract_z
Li1 0.000 0.000 0.000
Pr1 0.079 0.500 0.779
Pr2 0.224 0.500 0.329
Tl1 0.000 0.500 0.000
Tl2 0.086 0.000 0.315
Tl3 0.130 0.500 0.540
Tl4 0.221 0.000 0.904
```

> What is the total DFT energy (no corrections) in the eleventh record?

-3.78 eV per atom